First-principles (PBE) data for TiTeI2 after structural relaxation, as listed in Alexandria.

Computed properties:
raw formation energy	-57	kJ per mole of atoms
polymorph energy (0 for the lowest one)	0.000	eV per atom

a = 7.290 Å, b = 7.290 Å, c = 3.510 Å
α = 98.77°, β = 98.77°, γ = 112.80°
Fractional coordinates of all 4 atoms:
Ti 0.000 0.000 0.000
Te 0.714 0.714 0.182
I 0.293 0.983 0.574
I 0.983 0.293 0.574